VASP calculation (PBE) on an optimized crystal structure of TbYSe.

The structure in CIF format:
```
data_TbYSe
_symmetry_space_group_name_H-M 'P -1'
_symmetry_Int_Tables_number 2
_cell_length_a 5.6259
_cell_length_b 5.6628
_cell_length_c 6.7929
_cell_angle_alpha 65.39
_cell_angle_beta 65.60
_cell_angle_gamma 90.00
loop_
_symmetry_equiv_pos_as_xyz
'x,y,z'
'-x,-y,-z'
loop_
_atom_site_label
_atom_site_type_symbol
_atom_site_fract_x
_atom_site_fract_y
_atom_site_fract_z
_atom_site_occupancy
Tb1 Tb 0.1306 0.3800 0.2391 1
Y1 Y 0.3829 0.1330 0.7341 1
Se1 Se 0.1262 0.8756 0.2478 1
```

Summary:
- calculated volume (A^3/atom) = 29.21
- formation energy without anion corrections (meV per atom) = -1038